Below is a relaxed Tb8NdHo2 crystal, with properties calculated at the PBE level.

Summary:
Energy of formation ... 0.1135 eV/atom
Offset from the most stable computed form ... 0 meV per atom
Symmetry ... Immm, No. 71
Density ... 8075 kg/m3
Crystal system ... orthorhombic

Geometry as extended XYZ:
```
11
Lattice="-2.7675 4.0756 7.9556 2.7675 -4.0756 7.9556 2.7675 4.0756 -7.9556" Properties=species:S:1:pos:R:3 pbc="T T T"
Tb 2.7675 2.3974 -2.2109
Tb 0.0000 0.0000 2.6034
Tb 0.0000 2.4087 0.0000
Tb 2.7675 2.3974 2.2109
Tb 0.0000 1.6782 5.7447
Tb 0.0000 5.7425 0.0000
Tb 0.0000 0.0000 13.3077
Tb 0.0000 1.6782 10.1665
Nd 2.7675 0.0000 0.0000
Ho 2.7675 0.0000 4.7801
Ho 0.0000 4.0756 3.1755
```